# 1
# Ac2PmGe2

Ac2PmGe2 after structural relaxation (GGA-PBE, Alexandria).

Geometry as extended XYZ:
```
10
Lattice="8.084 0.000 0.000 0.000 8.084 0.000 0.000 0.000 4.716" Properties=species:S:1:pos:R:3 pbc="T T T"
Ac 1.423 2.619 0.000
Ac 2.619 6.661 0.000
Ac 5.465 1.423 0.000
Ac 6.661 5.465 0.000
Pm 0.000 0.000 2.358
Pm 4.042 4.042 2.358
Ge 0.961 5.004 2.358
Ge 3.081 0.961 2.358
Ge 5.004 7.123 2.358
Ge 7.123 3.081 2.358
```

Output
Total magnetic moment (μB/cell): 0.0
SG: P4/mbm, No. 127
E above lowest polymorph (meV per atom): 0
Energy of formation (eV/atom): -0.6731


# 2
# AcPm8Ge6

AcPm8Ge6 after structural relaxation (GGA-PBE, Alexandria).

Geometry as extended XYZ:
```
15
Lattice="4.010 2.315 8.234 -4.010 2.315 8.234 0.000 -4.630 8.234" Properties=species:S:1:pos:R:3 pbc="T T T"
Ac 0.000 0.000 0.000
Pm -2.704 0.050 11.183
Pm -1.395 -2.316 13.520
Pm 0.000 0.000 8.236
Pm 1.308 -2.367 11.183
Pm -1.308 2.367 13.520
Pm 0.000 0.000 16.466
Pm 1.395 2.316 11.183
Pm 2.704 -0.050 13.520
Ge -1.370 -2.238 10.017
Ge -2.624 0.068 14.685
Ge -1.253 2.306 10.017
Ge 1.253 -2.306 14.685
Ge 2.624 -0.068 10.017
Ge 1.370 2.238 14.685
```

Output
Total magnetic moment (μB/cell): 0.0
SG: R-3, No. 148
Energy of formation (eV/atom): -0.6015


# 3
# AcPm2Ge6

AcPm2Ge6 after structural relaxation (GGA-PBE, Alexandria).

Geometry as extended XYZ:
```
9
Lattice="7.788 0.000 0.000 -3.894 6.745 0.000 0.000 0.000 4.126" Properties=species:S:1:pos:R:3 pbc="T T T"
Ac 0.000 0.000 0.000
Pm 0.000 4.496 0.000
Pm 3.894 2.248 0.000
Ge -1.322 2.291 2.063
Ge -2.571 4.454 2.063
Ge 2.645 0.000 2.063
Ge 1.322 2.291 2.063
Ge 5.143 0.000 2.063
Ge 2.571 4.454 2.063
```

Output
Total magnetic moment (μB/cell): 0.0
SG: P6/mmm, No. 191
E above lowest polymorph (meV per atom): 0
Energy of formation (eV/atom): -0.5704


# 4
# Ac3Pm4Ge4

Ac3Pm4Ge4 after structural relaxation (GGA-PBE, Alexandria).

Geometry as extended XYZ:
```
11
Lattice="-4.523 4.523 4.523 4.523 -4.523 4.523 4.523 4.523 -4.523" Properties=species:S:1:pos:R:3 pbc="T T T"
Ac 4.523 0.000 0.000
Ac 0.000 4.523 0.000
Ac 0.000 0.000 4.523
Pm 1.289 1.289 -1.289
Pm 1.289 -1.289 1.289
Pm -1.289 1.289 1.289
Pm 3.233 3.233 3.233
Ge 2.912 2.912 -2.912
Ge 2.912 -2.912 2.912
Ge 1.611 1.611 1.611
Ge -2.912 2.912 2.912
```

Output
Total magnetic moment (μB/cell): 0.0
SG: I-43m, No. 217
Energy of formation (eV/atom): -0.3754


# 5
# AcPmGe2

AcPmGe2 after structural relaxation (GGA-PBE, Alexandria).

Geometry as extended XYZ:
```
4
Lattice="5.085 0.000 0.000 0.000 5.085 0.000 0.000 0.000 4.190" Properties=species:S:1:pos:R:3 pbc="T T T"
Ac 0.000 0.000 0.000
Pm 2.542 2.542 0.000
Ge 0.000 2.542 2.095
Ge 2.542 0.000 2.095
```

Output
Total magnetic moment (μB/cell): 0.0
SG: P4/mmm, No. 123
E above lowest polymorph (meV per atom): 206
Energy of formation (eV/atom): -0.5370


# 6
# AcPm4Ge2

AcPm4Ge2 after structural relaxation (GGA-PBE, Alexandria).

Geometry as extended XYZ:
```
7
Lattice="2.722 1.571 8.048 -2.722 1.571 8.048 0.000 -3.143 8.048" Properties=species:S:1:pos:R:3 pbc="T T T"
Ac 0.000 0.000 0.000
Pm 0.000 0.000 3.816
Pm 0.000 0.000 10.042
Pm 0.000 0.000 14.103
Pm 0.000 0.000 20.328
Ge 0.000 0.000 6.756
Ge 0.000 0.000 17.389
```

Output
Total magnetic moment (μB/cell): 0.0
SG: R-3m, No. 166
Energy of formation (eV/atom): -0.3603


# 7
# Ac5PmGe3

Ac5PmGe3 after structural relaxation (GGA-PBE, Alexandria).

Geometry as extended XYZ:
```
18
Lattice="6.734 -5.156 0.000 6.734 5.156 0.000 -3.682 0.000 10.433" Properties=species:S:1:pos:R:3 pbc="T T T"
Ac -0.909 0.000 3.493
Ac 2.942 2.010 3.779
Ac 6.734 3.103 0.000
Ac 0.024 0.000 9.764
Ac 6.845 2.010 6.654
Ac 2.942 -2.010 3.779
Ac 9.763 0.000 0.669
Ac 6.734 -3.103 0.000
Ac 6.845 -2.010 6.654
Ac 10.696 0.000 6.940
Pm 3.227 0.000 7.518
Pm 6.560 0.000 2.916
Ge 1.698 0.000 1.714
Ge 0.599 0.000 6.230
Ge 6.734 0.000 0.000
Ge 4.893 0.000 5.217
Ge 9.187 0.000 4.203
Ge 8.089 0.000 8.719
```

Output
Total magnetic moment (μB/cell): 2.9
SG: C2/m, No. 12
Energy of formation (eV/atom): -0.3535


# 8
# AcPm2Ge

AcPm2Ge after structural relaxation (GGA-PBE, Alexandria).

Geometry as extended XYZ:
```
8
Lattice="4.709 0.000 0.000 0.000 6.737 0.000 0.000 0.000 8.173" Properties=species:S:1:pos:R:3 pbc="T T T"
Ac 1.177 1.684 0.632
Ac 3.532 5.053 7.541
Pm 1.177 0.085 5.254
Pm 1.177 3.283 5.254
Pm 3.532 3.454 2.919
Pm 3.532 6.652 2.919
Ge 1.177 5.053 1.811
Ge 3.532 1.684 6.361
```

Output
Total magnetic moment (μB/cell): 0.0
SG: Pmmn, No. 59
E above lowest polymorph (meV per atom): 36
Energy of formation (eV/atom): -0.2734